(1)
The following is a GGA-PBE calculation of crystalline Ba2CrPb at its relaxed geometry, from the Alexandria database.

The crystal system is tetragonal. The energy relative to the elements comes out at 0.873 eV per formula unit. The total moment comes out at 1.1023 μB per atom.

Structure (CIF):
```
data_Ba2CrPb
_chemical_formula_sum 'Ba2 Cr1 Pb1'
_symmetry_space_group_name_H-M 'P 4 m m'
_symmetry_Int_Tables_number 99
_cell_length_a 4.0522
_cell_length_b 4.0522
_cell_length_c 9.6760
_cell_angle_alpha 90.00
_cell_angle_beta 90.00
_cell_angle_gamma 90.00
loop_
_symmetry_equiv_pos_as_xyz
'x,y,z'
'-y,x,z'
'-x,-y,z'
'y,-x,z'
'-x,y,z'
'y,x,z'
'x,-y,z'
'-y,-x,z'
loop_
_atom_site_label
_atom_site_fract_x
_atom_site_fract_y
_atom_site_fract_z
Ba1 0.0000 0.0000 0.0000
Ba2 0.5000 0.5000 0.3959
Cr1 0.0000 0.0000 0.6424
Pb1 0.5000 0.5000 0.7595
```

(2)
The following is a GGA-PBE calculation of crystalline Ti4Ga2Ir at its relaxed geometry, from the Alexandria database.

For the relative energy among the computed polymorphs, the calculation gives 0.0000 eV/atom. The crystal system is monoclinic. The energy relative to the elements comes out at -2.271 eV per formula unit. The total moment comes out at 0.0000 μB per atom.

Structure (CIF):
```
data_Ti4Ga2Ir
_chemical_formula_sum 'Ti8 Ga4 Ir2'
_symmetry_space_group_name_H-M 'P 1 21/m 1'
_symmetry_Int_Tables_number 11
_cell_length_a 6.6024
_cell_length_b 5.3098
_cell_length_c 7.2819
_cell_angle_alpha 90.00
_cell_angle_beta 116.15
_cell_angle_gamma 90.00
loop_
_symmetry_equiv_pos_as_xyz
'x,y,z'
'-x,-y,-z'
'-x,y+1/2,-z'
'x,-y+1/2,z'
loop_
_atom_site_label
_atom_site_fract_x
_atom_site_fract_y
_atom_site_fract_z
Ti1 0.0220 0.2500 0.0171
Ti2 0.1652 0.0003 0.7188
Ti3 0.2909 0.7500 0.4020
Ga1 0.2329 0.2500 0.4244
Ga2 0.4204 0.7500 0.0900
Ir1 0.4461 0.2500 0.1982
```

(3)
The following is a GGA-PBE calculation of crystalline Rb2BiSbC at its relaxed geometry, from the Alexandria database.

The crystal system is tetragonal. The calculation puts the raw formation energy at 935 meV per atom. The total moment comes out at 0.2045 μB per atom.

Structure (CIF):
```
data_Rb2BiSbC
_chemical_formula_sum 'Rb2 Bi1 Sb1 C1'
_symmetry_space_group_name_H-M 'P 4/m m m'
_symmetry_Int_Tables_number 123
_symmetry_space_group_name_Hall '-P 4 2'
_cell_length_a 7.2662
_cell_length_b 7.2662
_cell_length_c 4.3939
_cell_angle_alpha 90.00
_cell_angle_beta 90.00
_cell_angle_gamma 90.00
loop_
_atom_site_label
_atom_site_fract_x
_atom_site_fract_y
_atom_site_fract_z
Rb1 0.0000 0.5000 0.0000
Bi1 0.0000 0.0000 0.0000
Sb1 0.5000 0.5000 0.5000
C1 0.0000 0.0000 0.5000
```

(4)
The following is a GGA-PBE calculation of crystalline Pm6Ge3Se2Cl at its relaxed geometry, from the Alexandria database.

The crystal system is monoclinic. The calculation puts the raw formation energy at -1372 meV per atom. The total moment comes out at 0.0000 μB per atom.

Structure (CIF):
```
data_Pm6Ge3Se2Cl
_chemical_formula_sum 'Pm12 Ge6 Se4 Cl2'
_symmetry_space_group_name_H-M 'C 1 2/m 1'
_symmetry_Int_Tables_number 12
_cell_length_a 18.5041
_cell_length_b 4.2503
_cell_length_c 8.4978
_cell_angle_alpha 90.00
_cell_angle_beta 103.21
_cell_angle_gamma 90.00
loop_
_symmetry_equiv_pos_as_xyz
'x,y,z'
'-x,-y,-z'
'-x,y,-z'
'x,-y,z'
'x+1/2,y+1/2,z'
'-x+1/2,-y+1/2,-z'
'-x+1/2,y+1/2,-z'
'x+1/2,-y+1/2,z'
loop_
_atom_site_label
_atom_site_fract_x
_atom_site_fract_y
_atom_site_fract_z
Pm1 0.0026 0.0000 0.2355
Pm2 0.1646 0.5000 0.0888
Pm3 0.1720 0.5000 0.5781
Ge1 0.0000 0.5000 0.0000
Ge2 0.1653 0.0000 0.3337
Se1 0.1658 0.0000 0.8310
Cl1 0.0000 0.5000 0.5000
```

(5)
The following is a GGA-PBE calculation of crystalline TlZn2Fe at its relaxed geometry, from the Alexandria database.

For the relative energy among the computed polymorphs, the calculation gives 0.1321 eV/atom. The crystal system is tetragonal. The energy relative to the elements comes out at 1.515 eV per formula unit. The total moment comes out at 0.3625 μB per atom.

Structure (CIF):
```
data_TlZn2Fe
_chemical_formula_sum 'Tl2 Zn4 Fe2'
_symmetry_space_group_name_H-M 'I 4/m m m'
_symmetry_Int_Tables_number 139
_symmetry_space_group_name_Hall '-I 4 2'
_cell_length_a 3.8622
_cell_length_b 3.8622
_cell_length_c 8.6898
_cell_angle_alpha 90.00
_cell_angle_beta 90.00
_cell_angle_gamma 90.00
loop_
_atom_site_label
_atom_site_fract_x
_atom_site_fract_y
_atom_site_fract_z
Tl1 0.0000 0.0000 0.0000
Zn1 0.0000 0.5000 0.2500
Fe1 0.0000 0.0000 0.5000
```

(6)
The following is a GGA-PBE calculation of crystalline SmTlCdAg at its relaxed geometry, from the Alexandria database.

The crystal system is cubic. The energy relative to the elements comes out at -0.990 eV per formula unit. The total moment comes out at 0.0000 μB per atom.

Structure (CIF):
```
data_SmTlCdAg
_chemical_formula_sum 'Sm4 Tl4 Cd4 Ag4'
_symmetry_space_group_name_H-M 'F -4 3 m'
_symmetry_Int_Tables_number 216
_symmetry_space_group_name_Hall 'F -4 2 3'
_cell_length_a 7.2700
_cell_length_b 7.2700
_cell_length_c 7.2700
_cell_angle_alpha 90.00
_cell_angle_beta 90.00
_cell_angle_gamma 90.00
loop_
_atom_site_label
_atom_site_fract_x
_atom_site_fract_y
_atom_site_fract_z
Sm1 0.0000 0.0000 0.0000
Tl1 0.2500 0.2500 0.2500
Cd1 0.0000 0.0000 0.5000
Ag1 0.2500 0.2500 0.7500
```